A relaxed structure of ZrFe2CoO6. Source: Alexandria via LeMat-Bulk, functional PBE with a Hubbard U.

## Properties
Raw total energy, eV per atom: -7.1865

```
data_ZrFe2CoO6
_cell_length_a 5.1957
_cell_length_b 5.1957
_cell_length_c 13.9506
_cell_angle_alpha 90.00
_cell_angle_beta 90.00
_cell_angle_gamma 120.00
_symmetry_space_group_name_H-M 'R 3'
_symmetry_Int_Tables_number 146
_symmetry_space_group_name_Hall 'R 3'
loop_
_atom_site_label
_atom_site_fract_x
_atom_site_fract_y
_atom_site_fract_z
_atom_site_occupancy
Zr1 0.0000 0.0000 0.0000 1
Fe1 0.0000 0.0000 0.2937 1
Fe2 0.0000 0.0000 0.7910 1
Co1 0.0000 0.0000 0.5037 1
O1 0.0159 0.6384 0.5567 1
O2 0.0219 0.3812 0.0536 1
```